#i
# Pr3HgPd

A relaxed structure of Pr3HgPd (GGA-PBE, the Alexandria database).

Output
The calculation puts the density of states at the Fermi level at 4.86 states/eV/f.u. The calculation puts the mass density at 7.62 Mg/m³. The total magnetization comes out at 0.0 Bohr magnetons per cell.

Lattice parameters (Å, degrees): 9.213 9.213 4.060 90.00 90.00 112.61
Fractional positions:
Pr: 0.165 0.835 0.000
Pr: 0.190 0.421 0.500
Pr: 0.421 0.190 0.500
Pr: 0.579 0.810 0.500
Pr: 0.810 0.579 0.500
Pr: 0.835 0.165 0.000
Hg: 0.000 0.000 0.500
Hg: 0.500 0.500 0.000
Pd: 0.000 0.500 0.000
Pd: 0.500 0.000 0.000


#ii
# Pr3HgPd

A relaxed structure of Pr3HgPd (GGA-PBE, the Alexandria database).

Output
The calculation puts the density of states at the Fermi level at 5.88 states/eV/f.u. The calculation puts the mass density at 8.01 Mg/m³. The total magnetization comes out at 0.0 Bohr magnetons per cell.

Lattice parameters (Å, degrees): 9.772 7.770 8.541 90.00 111.01 90.00
Fractional positions:
Pr: 0.072 0.017 0.214
Pr: 0.072 0.483 0.714
Pr: 0.312 0.161 0.610
Pr: 0.312 0.339 0.110
Pr: 0.358 0.678 0.482
Pr: 0.358 0.822 0.982
Pr: 0.642 0.178 0.018
Pr: 0.642 0.322 0.518
Pr: 0.688 0.661 0.890
Pr: 0.688 0.839 0.390
Pr: 0.928 0.517 0.286
Pr: 0.928 0.983 0.786
Hg: 0.088 0.665 0.059
Hg: 0.088 0.835 0.559
Hg: 0.912 0.165 0.441
Hg: 0.912 0.335 0.941
Pd: 0.414 0.036 0.321
Pd: 0.414 0.464 0.821
Pd: 0.586 0.536 0.179
Pd: 0.586 0.964 0.679


Most stable one: #ii, least stable one: #i.


#i
# HgPd5Pt

A relaxed structure of HgPd5Pt (GGA-PBE, the Alexandria database).

Output
The calculation puts the density of states at the Fermi level at 11.33 states/eV/f.u. The calculation puts the mass density at 11.47 Mg/m³. The total magnetization comes out at 0.0 Bohr magnetons per cell.

Lattice parameters (Å, degrees): 5.696 5.696 5.696 124.94 103.76 100.92
Fractional positions:
Hg: 0.000 0.000 0.000
Pd: 0.341 0.092 0.751
Pd: 0.341 0.590 0.249
Pd: 0.476 0.657 0.819
Pd: 0.657 0.157 0.500
Pd: 0.838 0.657 0.181
Pt: 0.003 0.503 0.500


#ii
# HgPd5Pt

A relaxed structure of HgPd5Pt (GGA-PBE, the Alexandria database).

Output
The calculation puts the density of states at the Fermi level at 8.10 states/eV/f.u. The calculation puts the mass density at 12.65 Mg/m³. The total magnetization comes out at 0.0 Bohr magnetons per cell.

Lattice parameters (Å, degrees): 3.984 3.984 7.675 90.00 90.00 90.00
Fractional positions:
Hg: 0.000 0.000 0.000
Pd: 0.000 0.500 0.274
Pd: 0.000 0.500 0.726
Pd: 0.500 0.000 0.274
Pd: 0.500 0.000 0.726
Pd: 0.500 0.500 0.000
Pt: 0.000 0.000 0.500


Most stable one: #ii, least stable one: #i.


#i
# Hg2PdPt

A relaxed structure of Hg2PdPt (GGA-PBE, the Alexandria database).

Output
The calculation puts the density of states at the Fermi level at 1.02 states/eV/f.u. The calculation puts the mass density at 16.13 Mg/m³. The total magnetization comes out at 0.0 Bohr magnetons per cell.

Lattice parameters (Å, degrees): 4.325 4.325 3.866 90.00 90.00 90.00
Fractional positions:
Hg: 0.000 0.500 0.000
Hg: 0.500 0.000 0.000
Pd: 0.000 0.000 0.500
Pt: 0.500 0.500 0.500


#ii
# Hg2PdPt

A relaxed structure of Hg2PdPt (GGA-PBE, the Alexandria database).

Output
The calculation puts the density of states at the Fermi level at 1.22 states/eV/f.u. The calculation puts the mass density at 16.14 Mg/m³. The total magnetization comes out at 0.0 Bohr magnetons per cell.

Lattice parameters (Å, degrees): 3.064 3.064 7.701 90.00 90.00 90.00
Fractional positions:
Hg: 0.000 0.000 0.248
Hg: 0.000 0.000 0.752
Pd: 0.500 0.500 0.000
Pt: 0.500 0.500 0.500


Most stable one: #i, least stable one: #ii.


#i
# Hg2Pd4Pt

A relaxed structure of Hg2Pd4Pt (GGA-PBE, the Alexandria database).

Output
The calculation puts the density of states at the Fermi level at 6.08 states/eV/f.u. The calculation puts the mass density at 13.21 Mg/m³. The total magnetization comes out at 0.0 Bohr magnetons per cell.

Lattice parameters (Å, degrees): 5.703 5.703 5.703 121.30 121.30 87.76
Fractional positions:
Hg: 0.000 0.500 0.500
Hg: 0.500 0.000 0.500
Pd: 0.000 0.000 0.500
Pd: 0.000 0.500 0.000
Pd: 0.500 0.000 0.000
Pd: 0.500 0.500 0.500
Pt: 0.000 0.000 0.000


#ii
# Hg2Pd4Pt

A relaxed structure of Hg2Pd4Pt (GGA-PBE, the Alexandria database).

Output
The calculation puts the density of states at the Fermi level at 7.00 states/eV/f.u. The calculation puts the mass density at 13.28 Mg/m³. The total magnetization comes out at 0.0 Bohr magnetons per cell.

Lattice parameters (Å, degrees): 6.924 6.924 6.924 108.99 108.99 110.44
Fractional positions:
Hg: 0.375 0.243 0.368
Hg: 0.757 0.125 0.132
Hg: 0.875 0.007 0.632
Hg: 0.993 0.625 0.868
Pd: 0.139 0.389 0.094
Pd: 0.139 0.389 0.594
Pd: 0.295 0.045 0.906
Pd: 0.455 0.861 0.250
Pd: 0.611 0.205 0.750
Pd: 0.611 0.705 0.750
Pd: 0.795 0.545 0.406
Pd: 0.955 0.861 0.250
Pt: 0.250 0.750 0.500
Pt: 0.500 0.500 0.000


Most stable one: #i, least stable one: #ii.


#i
# HgPd3Pt

A relaxed structure of HgPd3Pt (GGA-PBE, the Alexandria database).

Output
The calculation puts the density of states at the Fermi level at 6.64 states/eV/f.u. The calculation puts the mass density at 9.96 Mg/m³. The total magnetization comes out at 0.0 Bohr magnetons per cell.

Lattice parameters (Å, degrees): 4.921 4.921 4.921 90.00 90.00 90.00
Fractional positions:
Hg: 0.000 0.000 0.000
Pd: 0.000 0.500 0.500
Pd: 0.500 0.000 0.500
Pd: 0.500 0.500 0.000
Pt: 0.500 0.500 0.500


#ii
# HgPd3Pt

A relaxed structure of HgPd3Pt (GGA-PBE, the Alexandria database).

Output
The calculation puts the density of states at the Fermi level at 8.31 states/eV/f.u. The calculation puts the mass density at 14.46 Mg/m³. The total magnetization comes out at 0.0 Bohr magnetons per cell.

Lattice parameters (Å, degrees): 6.967 5.711 9.427 90.00 118.88 90.00
Fractional positions:
Hg: 0.100 0.133 0.156
Hg: 0.100 0.367 0.656
Hg: 0.900 0.633 0.344
Hg: 0.900 0.867 0.844
Pd: 0.103 0.628 0.149
Pd: 0.103 0.872 0.649
Pd: 0.308 0.121 0.954
Pd: 0.308 0.379 0.454
Pd: 0.497 0.625 0.751
Pd: 0.497 0.875 0.251
Pd: 0.503 0.125 0.749
Pd: 0.503 0.375 0.249
Pd: 0.692 0.621 0.546
Pd: 0.692 0.879 0.046
Pd: 0.897 0.128 0.351
Pd: 0.897 0.372 0.851
Pt: 0.310 0.623 0.957
Pt: 0.310 0.877 0.457
Pt: 0.690 0.123 0.543
Pt: 0.690 0.377 0.043


#iii
# HgPd3Pt

A relaxed structure of HgPd3Pt (GGA-PBE, the Alexandria database).

Output
The calculation puts the density of states at the Fermi level at 7.27 states/eV/f.u. The calculation puts the mass density at 14.47 Mg/m³. The total magnetization comes out at 0.0 Bohr magnetons per cell.

Lattice parameters (Å, degrees): 5.721 4.019 14.277 90.00 90.00 90.00
Fractional positions:
Hg: 0.115 0.250 0.150
Hg: 0.385 0.750 0.650
Hg: 0.615 0.250 0.350
Hg: 0.885 0.750 0.850
Pd: 0.116 0.250 0.353
Pd: 0.132 0.250 0.951
Pd: 0.134 0.250 0.749
Pd: 0.366 0.750 0.249
Pd: 0.368 0.750 0.451
Pd: 0.384 0.750 0.853
Pd: 0.616 0.250 0.147
Pd: 0.632 0.250 0.549
Pd: 0.634 0.250 0.751
Pd: 0.866 0.750 0.251
Pd: 0.868 0.750 0.049
Pd: 0.884 0.750 0.647
Pt: 0.120 0.250 0.548
Pt: 0.380 0.750 0.048
Pt: 0.620 0.250 0.952
Pt: 0.880 0.750 0.452


Most stable one: #iii, least stable one: #i.


#i
# Hg2Pd5Pt

A relaxed structure of Hg2Pd5Pt (GGA-PBE, the Alexandria database).

Output
The calculation puts the density of states at the Fermi level at 12.09 states/eV/f.u. The calculation puts the mass density at 10.60 Mg/m³. The total magnetization comes out at 0.0 Bohr magnetons per cell.

Lattice parameters (Å, degrees): 6.042 6.042 4.842 90.00 90.00 90.00
Fractional positions:
Hg: 0.000 0.500 0.000
Hg: 0.500 0.000 0.000
Pd: 0.000 0.000 0.000
Pd: 0.291 0.291 0.500
Pd: 0.291 0.709 0.500
Pd: 0.709 0.291 0.500
Pd: 0.709 0.709 0.500
Pt: 0.000 0.000 0.500


#ii
# Hg2Pd5Pt

A relaxed structure of Hg2Pd5Pt (GGA-PBE, the Alexandria database).

Output
The calculation puts the density of states at the Fermi level at 11.09 states/eV/f.u. The calculation puts the mass density at 14.07 Mg/m³. The total magnetization comes out at 0.0 Bohr magnetons per cell.

Lattice parameters (Å, degrees): 5.709 5.709 5.709 119.17 119.17 91.44
Fractional positions:
Hg: 0.000 0.500 0.500
Hg: 0.500 0.000 0.500
Pd: 0.000 0.000 0.000
Pd: 0.000 0.000 0.500
Pd: 0.000 0.500 0.000
Pd: 0.500 0.000 0.000
Pd: 0.500 0.500 0.500
Pt: 0.500 0.500 0.000


Most stable one: #ii, least stable one: #i.


#i
# HgPd6Pt2

A relaxed structure of HgPd6Pt2 (GGA-PBE, the Alexandria database).

Output
The calculation puts the density of states at the Fermi level at 15.12 states/eV/f.u. The calculation puts the mass density at 13.99 Mg/m³. The total magnetization comes out at 0.0 Bohr magnetons per cell.

Lattice parameters (Å, degrees): 8.017 8.017 4.808 97.62 97.62 73.28
Fractional positions:
Hg: 0.124 0.876 0.750
Hg: 0.876 0.124 0.250
Pd: 0.012 0.753 0.197
Pd: 0.105 0.353 0.353
Pd: 0.247 0.988 0.303
Pd: 0.323 0.568 0.468
Pd: 0.353 0.105 0.853
Pd: 0.432 0.677 0.032
Pd: 0.568 0.323 0.968
Pd: 0.647 0.895 0.147
Pd: 0.677 0.432 0.532
Pd: 0.753 0.012 0.697
Pd: 0.895 0.647 0.647
Pd: 0.988 0.247 0.803
Pt: 0.210 0.460 0.908
Pt: 0.460 0.210 0.408
Pt: 0.540 0.790 0.592
Pt: 0.790 0.540 0.092


#ii
# HgPd6Pt2

A relaxed structure of HgPd6Pt2 (GGA-PBE, the Alexandria database).

Output
The calculation puts the density of states at the Fermi level at 15.22 states/eV/f.u. The calculation puts the mass density at 13.76 Mg/m³. The total magnetization comes out at 0.0 Bohr magnetons per cell.

Lattice parameters (Å, degrees): 8.889 8.889 5.071 96.92 96.92 48.35
Fractional positions:
Hg: 0.178 0.822 0.750
Hg: 0.822 0.178 0.250
Pd: 0.023 0.767 0.155
Pd: 0.052 0.606 0.615
Pd: 0.233 0.977 0.345
Pd: 0.394 0.948 0.885
Pd: 0.399 0.450 0.360
Pd: 0.450 0.399 0.860
Pd: 0.550 0.601 0.140
Pd: 0.601 0.550 0.640
Pd: 0.606 0.052 0.115
Pd: 0.767 0.023 0.655
Pd: 0.948 0.394 0.385
Pd: 0.977 0.233 0.845
Pt: 0.197 0.350 0.046
Pt: 0.350 0.197 0.546
Pt: 0.650 0.803 0.454
Pt: 0.803 0.650 0.954


Most stable one: #i, least stable one: #ii.


#i
# HgPd4Pt

A relaxed structure of HgPd4Pt (GGA-PBE, the Alexandria database).

Output
The calculation puts the density of states at the Fermi level at 7.67 states/eV/f.u. The calculation puts the mass density at 13.86 Mg/m³. The total magnetization comes out at 0.0 Bohr magnetons per cell.

Lattice parameters (Å, degrees): 4.419 4.419 5.620 97.00 97.00 65.03
Fractional positions:
Hg: 0.000 0.000 0.000
Pd: 0.332 0.332 0.827
Pd: 0.336 0.336 0.339
Pd: 0.664 0.664 0.661
Pd: 0.668 0.668 0.173
Pt: 0.000 0.000 0.500


#ii
# HgPd4Pt

A relaxed structure of HgPd4Pt (GGA-PBE, the Alexandria database).

Output
The calculation puts the density of states at the Fermi level at 9.53 states/eV/f.u. The calculation puts the mass density at 13.99 Mg/m³. The total magnetization comes out at 0.0 Bohr magnetons per cell.

Lattice parameters (Å, degrees): 9.359 8.967 4.907 78.94 70.09 30.97
Fractional positions:
Hg: 0.125 0.125 0.125
Hg: 0.875 0.875 0.875
Pd: 0.045 0.045 0.705
Pd: 0.212 0.212 0.538
Pd: 0.295 0.295 0.955
Pd: 0.462 0.462 0.788
Pd: 0.538 0.538 0.212
Pd: 0.705 0.705 0.045
Pd: 0.788 0.788 0.462
Pd: 0.955 0.955 0.295
Pt: 0.375 0.375 0.375
Pt: 0.625 0.625 0.625


Most stable one: #ii, least stable one: #i.


#i
# Hg2Pd2Pt

A relaxed structure of Hg2Pd2Pt (GGA-PBE, the Alexandria database).

Output
The calculation puts the density of states at the Fermi level at 3.17 states/eV/f.u. The calculation puts the mass density at 13.99 Mg/m³. The total magnetization comes out at 0.0 Bohr magnetons per cell.

Lattice parameters (Å, degrees): 7.041 7.041 7.041 125.08 72.48 136.58
Fractional positions:
Hg: 0.176 0.246 0.422
Hg: 0.324 0.746 0.070
Hg: 0.676 0.254 0.930
Hg: 0.824 0.754 0.578
Pd: 0.084 0.847 0.930
Pd: 0.416 0.347 0.763
Pd: 0.584 0.653 0.237
Pd: 0.916 0.153 0.070
Pt: 0.250 0.750 0.500
Pt: 0.750 0.250 0.500


#ii
# Hg2Pd2Pt

A relaxed structure of Hg2Pd2Pt (GGA-PBE, the Alexandria database).

Output
The calculation puts the density of states at the Fermi level at 1.12 states/eV/f.u. The calculation puts the mass density at 14.31 Mg/m³. The total magnetization comes out at 0.0 Bohr magnetons per cell.

Lattice parameters (Å, degrees): 6.952 6.952 3.884 90.00 90.00 90.00
Fractional positions:
Hg: 0.169 0.331 0.000
Hg: 0.331 0.831 0.000
Hg: 0.669 0.169 0.000
Hg: 0.831 0.669 0.000
Pd: 0.135 0.635 0.500
Pd: 0.365 0.135 0.500
Pd: 0.635 0.865 0.500
Pd: 0.865 0.365 0.500
Pt: 0.000 0.000 0.500
Pt: 0.500 0.500 0.500


#iii
# Hg2Pd2Pt

A relaxed structure of Hg2Pd2Pt (GGA-PBE, the Alexandria database).

Output
The calculation puts the density of states at the Fermi level at 2.24 states/eV/f.u. The calculation puts the mass density at 14.46 Mg/m³. The total magnetization comes out at 0.0 Bohr magnetons per cell.

Lattice parameters (Å, degrees): 7.774 7.774 3.076 90.00 90.00 90.00
Fractional positions:
Hg: 0.163 0.337 0.000
Hg: 0.337 0.837 0.000
Hg: 0.663 0.163 0.000
Hg: 0.837 0.663 0.000
Pd: 0.135 0.635 0.500
Pd: 0.365 0.135 0.500
Pd: 0.635 0.865 0.500
Pd: 0.865 0.365 0.500
Pt: 0.000 0.000 0.000
Pt: 0.500 0.500 0.000


Most stable one: #i, least stable one: #iii.